VASP calculation (PBE) on LaHo5Se6 after structural relaxation.

It has space group C2/m (No. 12), with a = 7.0755 Å, b = 12.3238 Å, c = 7.1112 Å, α = 90.00°, β = 109.53° and γ = 90.00°. The asymmetric unit holds La at (0.0000, 0.0000, 0.0000), Ho at (0.0000, 0.1598, 0.5000), Ho at (0.0000, 0.3332, 0.0000), Ho at (0.0000, 0.5000, 0.5000), Se at (0.2381, 0.5000, 0.2522) and Se at (0.2408, 0.3270, 0.7413).

The density of states at the Fermi level comes out at 0.49 states/eV/atom. The crystal system is monoclinic. The calculation puts the energy relative to the elements, uncorrected at -2043 kJ/mol of formula units.


VASP calculation (PBE) on La2HoSe3 after structural relaxation.

It has space group C2/m (No. 12), with a = 7.2931 Å, b = 12.6695 Å, c = 7.3567 Å, α = 90.00°, β = 109.44° and γ = 90.00°. The asymmetric unit holds La at (0.0000, 0.0000, 0.0000), La at (0.0000, 0.1613, 0.5000), La at (0.0000, 0.5000, 0.5000), Ho at (0.0000, 0.3326, 0.0000), Se at (0.2311, 0.5000, 0.2316) and Se at (0.2479, 0.3272, 0.7624).

The density of states at the Fermi level comes out at 0.54 states/eV/atom. The crystal system is monoclinic. The calculation puts the energy relative to the elements, uncorrected at -1105 kJ/mol of formula units.


VASP calculation (PBE) on La4Ho3Se8 after structural relaxation.

It has space group R-3m (No. 166, hexagonal axes), with a = 8.1665 Å, b = 8.1665 Å, c = 23.4772 Å, α = 90.00°, β = 90.00° and γ = 120.00°. The asymmetric unit holds La at (0.0000, 0.0000, 0.0000), La at (0.0000, 0.0000, 0.1482), La at (0.0000, 0.0000, 0.5000), Ho at (0.0000, 0.5000, 0.0000), Se at (0.0000, 0.0000, 0.2705) and Se at (0.0117, 0.5058, 0.2559).

The density of states at the Fermi level comes out at 0.60 states/eV/atom. The crystal system is trigonal. The calculation puts the energy relative to the elements, uncorrected at -2461 kJ/mol of formula units. As for the distance to the lowest polymorph of the same formula: 17.8 kJ/mol of atoms.


- Look up the energy relative to the elements, uncorrected of the first one.
  -2043 kJ/mol of formula units


- Which value of energy relative to the elements, uncorrected does entry 3 give?
  -2461 kJ/mol of formula units


- Look up the energy relative to the elements, uncorrected of the third one.
  -2461 kJ/mol of formula units